Below is a relaxed structure of K4H6C2O9, with properties calculated at the PBE-GGA level.

Density of states at the Fermi level   0.00 states/eV/f.u.
Symmetry   No. 15
VASP energy   -5.64 eV/atom

Lattice parameters (Å, degrees): 9.1758 9.1758 7.2500 70.25 70.25 96.76
Fractional positions:
K  0.6180  0.3820  0.2500
K  0.3820  0.6180  0.7500
K  0.3133  0.6867  0.2500
K  0.6867  0.3133  0.7500
K  0.2864  0.9985  0.4642
K  0.0015  0.7136  0.0358
K  0.7136  0.0015  0.5358
K  0.9985  0.2864  0.9642
H  0.1245  0.0147  0.1558
H  0.9853  0.8755  0.3442
H  0.8755  0.9853  0.8442
H  0.0147  0.1245  0.6558
H  0.2990  0.3535  0.1279
H  0.6465  0.7010  0.3721
H  0.7010  0.6465  0.8721
H  0.3535  0.2990  0.6279
H  0.3626  0.2191  0.0475
H  0.7809  0.6374  0.4525
H  0.6374  0.7809  0.9525
H  0.2191  0.3626  0.5475
C  0.6355  0.9765  0.1524
C  0.0235  0.3645  0.3476
C  0.3645  0.0235  0.8476
C  0.9765  0.6355  0.6524
O  0.6749  0.1180  0.1474
O  0.8820  0.3251  0.3526
O  0.3251  0.8820  0.8526
O  0.1180  0.6749  0.6474
O  0.5517  0.8536  0.3354
O  0.1464  0.4483  0.1646
O  0.4483  0.1464  0.6646
O  0.8536  0.5517  0.8354
O  0.6785  0.9546  0.9737
O  0.0454  0.3215  0.5263
O  0.3215  0.0454  0.0263
O  0.9546  0.6785  0.4737
O  0.0084  0.9916  0.2500
O  0.9916  0.0084  0.7500
O  0.3945  0.3106  0.0851
O  0.6894  0.6055  0.4149
O  0.6055  0.6894  0.9149
O  0.3106  0.3945  0.5851